Record 1
Entry from the Alexandria database: an optimized crystal structure of Pr3Cd5Pd12 (GGA-PBE).

a = 13.8858 Å, b = 13.8858 Å, c = 13.8858 Å
α = 109.47°, β = 109.47°, γ = 109.47°
Atoms (fractional coordinates):
Pr 0.1250 0.2500 0.3750
Pr 0.1250 0.3750 0.7500
Pr 0.2500 0.3750 0.1250
Pr 0.2500 0.8750 0.6250
Pr 0.3750 0.1250 0.2500
Pr 0.3750 0.7500 0.1250
Pr 0.6250 0.2500 0.8750
Pr 0.6250 0.8750 0.7500
Pr 0.7500 0.1250 0.3750
Pr 0.7500 0.6250 0.8750
Pr 0.8750 0.6250 0.2500
Pr 0.8750 0.7500 0.6250
Cd 0.0000 0.0000 0.0000
Cd 0.0000 0.0000 0.5000
Cd 0.0000 0.5000 0.0000
Cd 0.0000 0.5000 0.5000
Cd 0.1250 0.7500 0.8750
Cd 0.1250 0.8750 0.2500
Cd 0.2500 0.1250 0.8750
Cd 0.2500 0.6250 0.3750
Cd 0.3750 0.2500 0.6250
Cd 0.3750 0.6250 0.7500
Cd 0.5000 0.0000 0.0000
Cd 0.5000 0.0000 0.5000
Cd 0.5000 0.5000 0.0000
Cd 0.5000 0.5000 0.5000
Cd 0.6250 0.3750 0.2500
Cd 0.6250 0.7500 0.3750
Cd 0.7500 0.3750 0.6250
Cd 0.7500 0.8750 0.1250
Cd 0.8750 0.1250 0.7500
Cd 0.8750 0.2500 0.1250
Pd 0.0689 0.2228 0.1482
Pd 0.0689 0.3461 0.9207
Pd 0.0746 0.7228 0.6539
Pd 0.0746 0.8518 0.4207
Pd 0.0793 0.6482 0.4254
Pd 0.0793 0.9311 0.6539
Pd 0.1482 0.0689 0.2228
Pd 0.1482 0.5793 0.9254
Pd 0.1539 0.2228 0.5746
Pd 0.1539 0.4311 0.5793
Pd 0.2228 0.1482 0.0689
Pd 0.2228 0.5746 0.1539
Pd 0.2772 0.3461 0.9254
Pd 0.2772 0.4311 0.3518
Pd 0.3461 0.9207 0.0689
Pd 0.3461 0.9254 0.2772
Pd 0.3518 0.2772 0.4311
Pd 0.3518 0.5746 0.9207
Pd 0.4207 0.0746 0.8518
Pd 0.4207 0.8461 0.5689
Pd 0.4254 0.0793 0.6482
Pd 0.4254 0.8461 0.7772
Pd 0.4311 0.3518 0.2772
Pd 0.4311 0.5793 0.1539
Pd 0.5689 0.4207 0.8461
Pd 0.5689 0.6482 0.7228
Pd 0.5746 0.1539 0.2228
Pd 0.5746 0.9207 0.3518
Pd 0.5793 0.1539 0.4311
Pd 0.5793 0.9254 0.1482
Pd 0.6482 0.4254 0.0793
Pd 0.6482 0.7228 0.5689
Pd 0.6539 0.0746 0.7228
Pd 0.6539 0.0793 0.9311
Pd 0.7228 0.5689 0.6482
Pd 0.7228 0.6539 0.0746
Pd 0.7772 0.4254 0.8461
Pd 0.7772 0.8518 0.9311
Pd 0.8461 0.5689 0.4207
Pd 0.8461 0.7772 0.4254
Pd 0.8518 0.4207 0.0746
Pd 0.8518 0.9311 0.7772
Pd 0.9207 0.0689 0.3461
Pd 0.9207 0.3518 0.5746
Pd 0.9254 0.1482 0.5793
Pd 0.9254 0.2772 0.3461
Pd 0.9311 0.6539 0.0793
Pd 0.9311 0.7772 0.8518

Calculated values
SG ... No. 230
ΔH_f (0 K) ... -24 meV per atom

=====

Record 2
Entry from the Alexandria database: an optimized crystal structure of TiHRuRh2 (GGA-PBE).

a = 3.8430 Å, b = 3.8430 Å, c = 4.0204 Å
α = 90.00°, β = 90.00°, γ = 90.00°
Atoms (fractional coordinates):
Ti 0.0000 0.0000 0.0000
H 0.0000 0.0000 0.5000
Ru 0.5000 0.5000 0.0000
Rh 0.0000 0.5000 0.5000
Rh 0.5000 0.0000 0.5000

Calculated values
SG ... No. 123
Raw total energy ... -37.194 eV for the cell shown

=====

Size of the total moment
In order: 0.00 0.00
Unit: μB per formula unit